Here is crystalline ZnCuReSn at its relaxed geometry from OQMD. Energies are from GGA-PBE.

Lattice parameters (Å, degrees): 4.468 4.468 4.468 60.00 60.00 60.00
Sites, in units of the cell vectors:
Zn 0.000 0.000 0.000
Cu 0.750 0.750 0.750
Re 0.250 0.250 0.250
Sn 0.500 0.500 0.500

Summary:
**Energy above the most stable polymorph in this dataset**: 0.00 kJ/mol of atoms
**Crystal system**: cubic
**Symmetry**: F-43m, No. 216



Here is crystalline ZrCuReSn at its relaxed geometry from OQMD. Energies are from GGA-PBE.

Lattice parameters (Å, degrees): 4.623 4.623 4.623 60.00 60.00 60.00
Sites, in units of the cell vectors:
Zr 0.000 0.000 0.000
Cu 0.750 0.750 0.750
Re 0.250 0.250 0.250
Sn 0.500 0.500 0.500

Summary:
**Energy above the most stable polymorph in this dataset**: 0.00 kJ/mol of atoms
**Crystal system**: cubic
**Symmetry**: F-43m, No. 216